No. 1
Rb4Bi2O5F: optimized geometry, PBE.

a = 7.712 Å, b = 6.595 Å, c = 6.595 Å
α = 122.79°, β = 90.00°, γ = 90.00°
Atoms (fractional coordinates):
Rb 0.000 0.186 0.814
Rb 0.000 0.814 0.186
Rb 0.278 0.476 0.476
Rb 0.722 0.476 0.476
Bi 0.500 0.180 0.806
Bi 0.500 0.806 0.180
O 0.309 0.506 0.944
O 0.309 0.944 0.506
O 0.500 0.082 0.082
O 0.691 0.506 0.944
O 0.691 0.944 0.506
F 0.000 0.249 0.249

## Properties
- SG = Amm2 (38)
- D(E_F) (states/eV/f.u.) = 4.27
- total magnetic moment (μB/f.u.) = 0.00
- volume (Å³ per atom) = 23.50
- uncorrected formation energy (meV per atom) = -1441

---

No. 2
Rb5BiO4F2: optimized geometry, PBE.

a = 8.112 Å, b = 6.473 Å, c = 6.473 Å
α = 117.01°, β = 90.00°, γ = 90.00°
Atoms (fractional coordinates):
Rb 0.000 0.000 0.000
Rb 0.257 0.313 0.682
Rb 0.257 0.682 0.313
Rb 0.743 0.313 0.682
Rb 0.743 0.682 0.313
Bi 0.500 0.012 0.012
O 0.299 0.195 0.195
O 0.500 0.684 0.984
O 0.500 0.984 0.684
O 0.701 0.195 0.195
F 0.000 0.564 0.970
F 0.000 0.970 0.564

## Properties
- SG = Amm2 (38)
- D(E_F) (states/eV/f.u.) = 0.00
- total magnetic moment (μB/f.u.) = 0.21
- volume (Å³ per atom) = 25.23
- uncorrected formation energy (meV per atom) = -1708

---

No. 3
Rb3Bi2O3F4: optimized geometry, PBE.

a = 12.232 Å, b = 12.232 Å, c = 12.232 Å
α = 159.31°, β = 157.83°, γ = 30.51°
Atoms (fractional coordinates):
Rb 0.000 0.000 0.000
Rb 0.188 0.188 0.000
Rb 0.812 0.812 0.000
Bi 0.408 0.408 0.000
Bi 0.592 0.592 0.000
O 0.400 0.900 0.500
O 0.500 0.500 0.000
O 0.600 0.100 0.500
F 0.098 0.598 0.500
F 0.305 0.305 0.000
F 0.695 0.695 0.000
F 0.902 0.402 0.500

## Properties
- SG = Immm (71)
- D(E_F) (states/eV/f.u.) = 1.40
- total magnetic moment (μB/f.u.) = 0.00
- volume (Å³ per atom) = 20.32
- uncorrected formation energy (meV per atom) = -1994

---

Repeat the third record exactly.
Rb3Bi2O3F4: optimized geometry, PBE.

a = 12.232 Å, b = 12.232 Å, c = 12.232 Å
α = 159.31°, β = 157.83°, γ = 30.51°
Atoms (fractional coordinates):
Rb 0.000 0.000 0.000
Rb 0.188 0.188 0.000
Rb 0.812 0.812 0.000
Bi 0.408 0.408 0.000
Bi 0.592 0.592 0.000
O 0.400 0.900 0.500
O 0.500 0.500 0.000
O 0.600 0.100 0.500
F 0.098 0.598 0.500
F 0.305 0.305 0.000
F 0.695 0.695 0.000
F 0.902 0.402 0.500

## Properties
- SG = Immm (71)
- D(E_F) (states/eV/f.u.) = 1.40
- total magnetic moment (μB/f.u.) = 0.00
- volume (Å³ per atom) = 20.32
- uncorrected formation energy (meV per atom) = -1994